Entry 1:
Density functional theory data (PBE) for La8Pt3N4 after structural relaxation.

a b c (Å): 7.912 7.969 7.969
angles (deg): 89.21 119.45 119.45
Site moments in Bohr magnetons follow the coordinates.
Atoms (fractional coordinates):
1 La 0.445 0.200 0.200  0.04
2 La 0.000 0.766 0.234  0.05
3 La 0.993 0.246 0.246  0.07
4 La 0.500 0.764 0.236  0.01
5 La 0.500 0.236 0.764  0.01
6 La 0.007 0.754 0.754  0.07
7 La 0.000 0.234 0.766  0.05
8 La 0.555 0.800 0.800  0.04
9 Pt 0.500 0.500 0.000  0.01
10 Pt 0.500 0.000 0.500  0.01
11 Pt 0.500 0.500 0.500  0.01
12 N 0.500 0.000 0.000  -0.01
13 N 0.000 0.500 0.000  -0.01
14 N 0.000 0.000 0.000  0.02
15 N 0.000 0.000 0.500  -0.01

Values from the calculation:
* raw total energy: -104.886 eV per cell
* ΔE_f (raw): -0.936 eV per atom
* symmetry: C2/m (12)

Entry 2:
Density functional theory data (PBE) for AcNd2TmAs4 after structural relaxation.

a b c (Å): 4.301 7.447 7.440
angles (deg): 70.64 90.00 90.00
Atoms (fractional coordinates):
1 Ac 0.500 0.500 0.000
2 Nd 0.000 0.000 0.000
3 Nd 0.500 0.000 0.500
4 Tm 0.000 0.500 0.500
5 As 0.000 0.755 0.736
6 As 0.000 0.245 0.264
7 As 0.500 0.746 0.263
8 As 0.500 0.254 0.737

Values from the calculation:
* raw total energy: -48.332 eV per cell
* DFT formation energy: -1.452 eV per atom
* symmetry: P2/m (10)